A plane-wave DFT calculation with PBE-GGA was carried out for crystalline Rb2PrTe2Br2 at its relaxed geometry.

The structure in POSCAR format:
```
Rb2PrTe2Br2
1.0
6.1469 0.0000 0.0000
0.0000 6.1469 0.0000
-3.0735 -3.0735 8.8889
Rb Pr Te Br
2 1 2 2
direct
0.3567 0.3567 0.7134
0.6433 0.6433 0.2866
0.0000 0.0000 0.0000
0.0000 0.5000 0.0000
0.5000 0.0000 0.0000
0.1670 0.1670 0.3340
0.8330 0.8330 0.6660
```

Values from the calculation:
- Uncorrected formation energy: -1.3283 eV/atom